Compound: K3V3Bi2O12
Source: Alexandria via LeMat-Bulk
Functional: PBE+U
Structure: relaxed

Summary:
- Crystal system: monoclinic
- Size of the total moment: 0.0 μB/cell
- Density: 4.3 Mg/m³
- Raw total energy: -6.50 eV/atom

a b c (Å): 10.0112 10.0112 7.3203
angles (deg): 106.33 106.33 89.84
With the nearest neighbours (Å) after each atom.
Element x y z (fractional)
K  0.0000  0.0000  0.0000  6 O 2.73-2.84
K  0.0000  0.0000  0.5000  6 O 2.73-2.84
K  0.2273  0.7727  0.7500  8 O 2.77-3.00
K  0.4959  0.5041  0.7500  6 O 2.77-2.95
K  0.5041  0.4959  0.2500  6 O 2.77-2.95
K  0.7727  0.2273  0.2500  8 O 2.77-3.00
V  0.1513  0.3673  0.3658  4 O 1.70-1.80
V  0.2468  0.7532  0.2500  4 O 1.72-1.77
V  0.3673  0.1513  0.8658  4 O 1.70-1.80
V  0.6327  0.8487  0.1342  4 O 1.70-1.80
V  0.7532  0.2468  0.7500  4 O 1.72-1.77
V  0.8487  0.6327  0.6342  4 O 1.70-1.80
Bi  0.1175  0.4181  0.8475  5 O 2.24-2.49
Bi  0.4181  0.1175  0.3475  5 O 2.24-2.49
Bi  0.5819  0.8825  0.6525  5 O 2.24-2.49
Bi  0.8825  0.5819  0.1525  5 O 2.24-2.49
O  0.0557  0.4285  0.1605  1 V 1.80
O  0.0759  0.2108  0.3488  1 V 1.70
O  0.0964  0.7468  0.3186  1 V 1.72
O  0.1586  0.4876  0.5981  1 V 1.77
O  0.2108  0.0759  0.8488  1 V 1.70
O  0.2532  0.9036  0.1814  1 V 1.72
O  0.2536  0.6109  0.0450  1 V 1.77
O  0.3221  0.3459  0.3583  1 V 1.74
O  0.3459  0.3221  0.8583  1 V 1.74
O  0.3891  0.7464  0.4550  1 V 1.77
O  0.4285  0.0557  0.6605  1 V 1.80
O  0.4876  0.1586  0.0981  1 V 1.77
O  0.5124  0.8414  0.9019  1 V 1.77
O  0.5715  0.9443  0.3395  1 V 1.80
O  0.6109  0.2536  0.5450  1 V 1.77
O  0.6541  0.6779  0.1417  1 V 1.74
O  0.6779  0.6541  0.6417  1 V 1.74
O  0.7464  0.3891  0.9550  1 V 1.77
O  0.7468  0.0964  0.8186  1 V 1.72
O  0.7892  0.9241  0.1512  1 V 1.70
O  0.8414  0.5124  0.4019  1 V 1.77
O  0.9036  0.2532  0.6814  1 V 1.72
O  0.9241  0.7892  0.6512  1 V 1.70
O  0.9443  0.5715  0.8395  1 V 1.80